# 1
# KTe2N

A geometry-optimized KTe2N structure (PBE, Alexandria via LeMat-Bulk).

```
KTe2N
1.0
5.981 0.000 0.000
-2.991 5.180 0.000
0.000 0.000 17.776
K Te N
3 6 3
direct
0.000 0.000 0.000
0.333 0.667 0.667
0.667 0.333 0.333
0.000 0.000 0.391
0.000 0.000 0.609
0.333 0.667 0.058
0.333 0.667 0.275
0.667 0.333 0.725
0.667 0.333 0.942
0.000 0.000 0.500
0.333 0.667 0.167
0.667 0.333 0.833
```

Values from the calculation:
Raw total energy   -3.56 eV/atom
Symmetry   R-3m (166)
Formation energy from raw total energies   0.3704 eV/atom
V   45.90 Å³ per atom


# 2
# ZnRu3

A geometry-optimized ZnRu3 structure (PBE, Alexandria via LeMat-Bulk).

```
ZnRu3
1.0
6.103 0.000 0.000
0.000 6.103 0.000
0.000 0.000 6.103
Zn Ru
4 12
direct
0.000 0.000 0.000
0.000 0.500 0.500
0.500 0.000 0.500
0.500 0.500 0.000
0.000 0.000 0.500
0.000 0.500 0.000
0.250 0.250 0.250
0.250 0.250 0.750
0.250 0.750 0.250
0.250 0.750 0.750
0.500 0.000 0.000
0.500 0.500 0.500
0.750 0.250 0.250
0.750 0.250 0.750
0.750 0.750 0.250
0.750 0.750 0.750
```

Values from the calculation:
Raw total energy   -7.00 eV/atom
Symmetry   Fm-3m (225)
V   14.21 Å³ per atom
Calculated formation energy   6.269 kcal/mol of atoms


# 3
# AcScRu2O8

A geometry-optimized AcScRu2O8 structure (PBE, Alexandria via LeMat-Bulk).

```
AcScRu2O8
1.0
5.779 0.000 0.000
-2.889 5.005 0.000
0.000 0.000 7.065
Ac Sc Ru O
1 1 2 8
direct
0.000 0.000 0.000
0.000 0.000 0.500
0.333 0.667 0.764
0.667 0.333 0.236
0.155 0.309 0.701
0.155 0.845 0.701
0.309 0.155 0.299
0.333 0.667 0.021
0.667 0.333 0.979
0.691 0.845 0.701
0.845 0.155 0.299
0.845 0.691 0.299
```

Values from the calculation:
Raw total energy   -7.46 eV/atom
Symmetry   P-3m1 (164)
Formation energy from raw total energies   -1.7394 eV/atom
V   17.03 Å³ per atom


# 4
# Ac3Tb2Pb3

A geometry-optimized Ac3Tb2Pb3 structure (PBE, Alexandria via LeMat-Bulk).

```
Ac3Tb2Pb3
1.0
9.706 0.000 0.000
-4.853 8.405 0.000
0.000 0.000 6.941
Ac Tb Pb
6 4 6
direct
0.000 0.245 0.250
0.000 0.755 0.750
0.245 0.000 0.250
0.245 0.245 0.750
0.755 0.000 0.750
0.755 0.755 0.250
0.333 0.667 0.000
0.333 0.667 0.500
0.667 0.333 0.000
0.667 0.333 0.500
0.000 0.401 0.750
0.000 0.599 0.250
0.401 0.000 0.750
0.401 0.401 0.250
0.599 0.000 0.250
0.599 0.599 0.750
```

Values from the calculation:
Raw total energy   -4.58 eV/atom
Symmetry   P6_3/mcm (193)
V   35.39 Å³ per atom
Calculated formation energy   -11.356 kcal/mol of atoms